Entry 1:
Material: NaPdAu2
Method: DFT, GGA-PBE
State: relaxed

Computed properties:
**N(E_F)**: 1.338 states/eV/cell
**DFT total energy**: -13.93 eV per cell
**Energy of formation**: -0.215 eV/atom

Lattice parameters (Å, degrees): 4.118 4.131 4.131 90.00 90.00 90.00
Fractional positions:
Pd 0.500 0.500 0.500
Na 0.500 0.000 0.000
Au 0.000 0.000 0.500
Au 0.000 0.500 0.000

Entry 2:
Material: ZrBe17Tc
Method: DFT, GGA-PBE
State: relaxed

Computed properties:
**N(E_F)**: 7.503 states/eV/cell
**DFT total energy**: -85.72 eV per cell
**Energy of formation**: -0.182 eV/atom

Lattice parameters (Å, degrees): 5.570 5.570 5.570 83.11 83.11 83.11
Fractional positions:
Be 0.344 0.849 0.344
Be 0.006 0.293 0.701
Be 0.996 0.996 0.503
Be 0.649 0.649 0.166
Be 0.293 0.006 0.701
Be 0.849 0.344 0.344
Be 0.996 0.503 0.996
Be 0.293 0.701 0.006
Be 0.503 0.996 0.996
Be 0.701 0.006 0.293
Be 0.006 0.701 0.293
Be 0.166 0.649 0.649
Be 0.344 0.344 0.849
Be 0.102 0.102 0.102
Be 0.649 0.166 0.649
Be 0.906 0.906 0.906
Be 0.701 0.293 0.006
Zr 0.660 0.660 0.660
Tc 0.337 0.337 0.337